No. 1
Compound: Na2NiAsO4
Source: the Alexandria database
Functional: GGA+U
Structure: relaxed

Output
VASP energy (hartree per atom): -0.186
Space group: I-4
Calculated volume (A^3/atom): 13.04

a b c (Å): 5.7609 5.7605 5.1455
angles (deg): 124.04 124.03 90.02
Positions (direct):
1 Ni 0.9858 0.4857 0.9715
2 O 0.0556 0.0845 0.7973
3 Na 0.2360 0.2358 0.4718
4 As 0.7359 0.7360 0.4720
5 O 0.3877 0.7308 0.1473
6 Na 0.4853 0.9853 0.9705
7 O 0.7593 0.4165 0.1470
8 O 0.7414 0.7125 0.7968

***

No. 2
Compound: NaNiAsO3
Source: the Alexandria database
Functional: GGA+U
Structure: relaxed

Output
VASP energy (hartree per atom): -0.179
Space group: Cmcm
Calculated volume (A^3/atom): 14.49

a b c (Å): 4.0405 5.7167 8.0472
angles (deg): 90.00 90.00 110.70
Positions (direct):
1 As 0.5075 0.0151 0.2500
2 Ni 0.0000 0.0000 0.5000
3 Na 0.7645 0.5291 0.7500
4 O 0.9931 0.9862 0.7500
5 As 0.4925 0.9849 0.7500
6 O 0.6148 0.2295 0.4240
7 Ni 0.0000 0.0000 0.0000
8 O 0.6148 0.2295 0.0760
9 O 0.3852 0.7705 0.5760
10 O 0.3852 0.7705 0.9240
11 O 0.0069 0.0138 0.2500
12 Na 0.2355 0.4709 0.2500

***

> The highest VASP energy belongs to which entry?

NaNiAsO3